1 | Material: Mg6VCO8
Method: DFT, PBE with a Hubbard U
State: relaxed

Unit cell a=4.1839 b=4.1839 c=8.9392 alpha=90.00 beta=90.00 gamma=90.00
Closest atoms and distances in Å follow each position.
Positions (direct):
Mg (0.0000, 0.0000, 0.0000)  6 O 2.09-2.20
Mg (0.0000, 0.0000, 0.5000)  6 O 2.09-2.27
Mg (0.0000, 0.5000, 0.2402)  6 O 2.09-2.32
Mg (0.0000, 0.5000, 0.7598)  6 O 2.09-2.32
Mg (0.5000, 0.0000, 0.2402)  6 O 2.09-2.32
Mg (0.5000, 0.0000, 0.7598)  6 O 2.09-2.32
V (0.5000, 0.5000, 0.5000)  6 O 2.04-2.09
C (0.5000, 0.5000, 0.0000)  4 O 2.09
O (0.0000, 0.0000, 0.2464)  6 Mg 2.09-2.27
O (0.0000, 0.0000, 0.7536)  6 Mg 2.09-2.27
O (0.0000, 0.5000, 0.0000)  4 Mg 2.09-2.15, 2 C 2.09
O (0.0000, 0.5000, 0.5000)  4 Mg 2.09-2.32, 2 V 2.09
O (0.5000, 0.0000, 0.0000)  4 Mg 2.09-2.15, 2 C 2.09
O (0.5000, 0.0000, 0.5000)  4 Mg 2.09-2.32, 2 V 2.09
O (0.5000, 0.5000, 0.2717)  1 V 2.04, 4 Mg 2.11
O (0.5000, 0.5000, 0.7283)  1 V 2.04, 4 Mg 2.11

Properties
V: 9.8 Å³/atom
SG: P4/mmm

2 | Material: Mg6VCO8
Method: DFT, PBE with a Hubbard U
State: relaxed

Unit cell a=4.2464 b=4.2464 c=8.5569 alpha=90.00 beta=90.00 gamma=90.00
Closest atoms and distances in Å follow each position.
Positions (direct):
Mg (0.0000, 0.0000, 0.0000)  6 O 2.12
Mg (0.0000, 0.5000, 0.2524)  6 O 2.12-2.16
Mg (0.0000, 0.5000, 0.7476)  6 O 2.12-2.16
Mg (0.5000, 0.0000, 0.2524)  6 O 2.12-2.16
Mg (0.5000, 0.0000, 0.7476)  6 O 2.12-2.16
Mg (0.5000, 0.5000, 0.0000)  6 O 2.12
V (0.0000, 0.0000, 0.5000)  6 O 2.12-2.16
C (0.5000, 0.5000, 0.5000)  6 O 2.12-2.16
O (0.0000, 0.0000, 0.2481)  5 Mg 2.12, 1 V 2.16
O (0.0000, 0.0000, 0.7519)  5 Mg 2.12, 1 V 2.16
O (0.0000, 0.5000, 0.0000)  6 Mg 2.12-2.16
O (0.0000, 0.5000, 0.5000)  2 Mg 2.12, 2 C 2.12, 2 V 2.12
O (0.5000, 0.0000, 0.0000)  6 Mg 2.12-2.16
O (0.5000, 0.0000, 0.5000)  2 Mg 2.12, 2 C 2.12, 2 V 2.12
O (0.5000, 0.5000, 0.2476)  5 Mg 2.12, 1 C 2.16
O (0.5000, 0.5000, 0.7524)  5 Mg 2.12, 1 C 2.16

Properties
V: 9.6 Å³/atom
SG: P4/mmm

The most stable arrangement is 2, and the next structure is 0.011 eV/atom less stable.